## a
Density functional theory data (PBE-GGA) for a relaxed CsTiTl3 crystal.

DOS(E_F): 5.221 states/eV/cell
theoretical density: 7.38 g/cm3
M_tot: 1.51 μB/f.u.

Unit cell a=5.632 b=5.632 c=5.632 alpha=90.00 beta=90.00 gamma=90.00
Fractional positions:
Cs1 0.000 0.000 0.000
Ti1 0.500 0.500 0.500
Tl1 0.000 0.500 0.500
Tl2 0.500 0.000 0.500
Tl3 0.500 0.500 0.000

***

## b
Density functional theory data (PBE-GGA) for a relaxed CsTiTl3 crystal.

DOS(E_F): 12.715 states/eV/cell
theoretical density: 5.42 g/cm3
M_tot: 0.00 μB/f.u.

Unit cell a=6.243 b=6.243 c=6.243 alpha=90.00 beta=90.00 gamma=90.00
Fractional positions:
Cs1 0.000 0.000 0.000
Ti1 0.500 0.500 0.500
Tl1 0.000 0.000 0.500
Tl2 0.000 0.500 0.000
Tl3 0.500 0.000 0.000

***

Last place for stability: b

***

## a
Density functional theory data (PBE-GGA) for a relaxed CsTi2V crystal.

DOS(E_F): 28.465 states/eV/cell
theoretical density: 5.82 g/cm3
M_tot: 0.00 μB/f.u.

Unit cell a=6.833 b=6.833 c=6.833 alpha=90.00 beta=90.00 gamma=90.00
Fractional positions:
Cs1 0.000 0.000 0.000
Cs2 0.000 0.500 0.500
Cs3 0.500 0.000 0.500
Cs4 0.500 0.500 0.000
Ti1 0.250 0.250 0.250
Ti2 0.250 0.250 0.750
Ti3 0.250 0.750 0.250
Ti4 0.250 0.750 0.750
Ti5 0.750 0.250 0.250
Ti6 0.750 0.250 0.750
Ti7 0.750 0.750 0.250
Ti8 0.750 0.750 0.750
V1 0.000 0.000 0.500
V2 0.000 0.500 0.000
V3 0.500 0.000 0.000
V4 0.500 0.500 0.500

***

## b
Density functional theory data (PBE-GGA) for a relaxed CsTi2V crystal.

DOS(E_F): 1.647 states/eV/cell
theoretical density: 3.44 g/cm3
M_tot: 0.00 μB/f.u.

Unit cell a=7.252 b=7.252 c=7.252 alpha=60.00 beta=60.00 gamma=60.00
Fractional positions:
Cs1 0.125 0.125 0.125
Cs2 0.875 0.875 0.875
Ti1 0.000 0.500 0.500
Ti2 0.500 0.000 0.500
Ti3 0.500 0.500 0.000
Ti4 0.500 0.500 0.500
V1 0.375 0.375 0.375
V2 0.625 0.625 0.625

***

Last place for stability: a

***

## a
Density functional theory data (PBE-GGA) for a relaxed CsTiV3 crystal.

DOS(E_F): 11.115 states/eV/cell
theoretical density: 4.38 g/cm3
M_tot: 8.29 μB/f.u.

Unit cell a=5.018 b=5.018 c=5.018 alpha=90.00 beta=90.00 gamma=90.00
Fractional positions:
Cs1 0.000 0.000 0.000
Ti1 0.500 0.500 0.500
V1 0.000 0.500 0.500
V2 0.500 0.000 0.500
V3 0.500 0.500 0.000

***

## b
Density functional theory data (PBE-GGA) for a relaxed CsTiV3 crystal.

DOS(E_F): 7.677 states/eV/cell
theoretical density: 5.23 g/cm3
M_tot: 1.62 μB/f.u.

Unit cell a=4.731 b=4.731 c=4.731 alpha=90.00 beta=90.00 gamma=90.00
Fractional positions:
Cs1 0.000 0.000 0.000
Ti1 0.500 0.500 0.500
V1 0.000 0.000 0.500
V2 0.000 0.500 0.000
V3 0.500 0.000 0.000

***

Last place for stability: b

***

## a
Density functional theory data (PBE-GGA) for a relaxed CsTiW2 crystal.

DOS(E_F): 18.591 states/eV/cell
theoretical density: 9.94 g/cm3
M_tot: 0.78 μB/f.u.

Unit cell a=4.282 b=4.282 c=19.993 alpha=90.00 beta=90.00 gamma=90.00
Fractional positions:
Cs1 0.000 0.000 0.000
Cs2 0.000 0.500 0.250
Cs3 0.500 0.000 0.750
Cs4 0.500 0.500 0.500
Ti1 0.000 0.000 0.500
Ti2 0.000 0.500 0.750
Ti3 0.500 0.000 0.250
Ti4 0.500 0.500 0.000
W1 0.166 0.750 0.625
W2 0.250 0.166 0.375
W3 0.250 0.334 0.875
W4 0.334 0.750 0.125
W5 0.666 0.250 0.125
W6 0.750 0.666 0.875
W7 0.750 0.834 0.375
W8 0.834 0.250 0.625

***

## b
Density functional theory data (PBE-GGA) for a relaxed CsTiW2 crystal.

DOS(E_F): 20.677 states/eV/cell
theoretical density: 11.92 g/cm3
M_tot: 0.00 μB/f.u.

Unit cell a=6.736 b=6.736 c=6.736 alpha=90.00 beta=90.00 gamma=90.00
Fractional positions:
Cs1 0.000 0.000 0.000
Cs2 0.000 0.500 0.500
Cs3 0.500 0.000 0.500
Cs4 0.500 0.500 0.000
Ti1 0.000 0.000 0.500
Ti2 0.000 0.500 0.000
Ti3 0.500 0.000 0.000
Ti4 0.500 0.500 0.500
W1 0.250 0.250 0.250
W2 0.250 0.250 0.750
W3 0.250 0.750 0.250
W4 0.250 0.750 0.750
W5 0.750 0.250 0.250
W6 0.750 0.250 0.750
W7 0.750 0.750 0.250
W8 0.750 0.750 0.750

***

Last place for stability: a

***

## a
Density functional theory data (PBE-GGA) for a relaxed CsTiW3 crystal.

DOS(E_F): 8.530 states/eV/cell
theoretical density: 10.44 g/cm3
M_tot: 0.00 μB/f.u.

Unit cell a=4.884 b=4.884 c=4.884 alpha=90.00 beta=90.00 gamma=90.00
Fractional positions:
Cs1 0.000 0.000 0.000
Ti1 0.500 0.500 0.500
W1 0.000 0.000 0.500
W2 0.000 0.500 0.000
W3 0.500 0.000 0.000

***

## b
Density functional theory data (PBE-GGA) for a relaxed CsTiW3 crystal.

DOS(E_F): 7.152 states/eV/cell
theoretical density: 10.54 g/cm3
M_tot: 0.97 μB/f.u.

Unit cell a=4.868 b=4.868 c=4.868 alpha=90.00 beta=90.00 gamma=90.00
Fractional positions:
Cs1 0.000 0.000 0.000
Ti1 0.500 0.500 0.500
W1 0.000 0.500 0.500
W2 0.500 0.000 0.500
W3 0.500 0.500 0.000

***

Last place for stability: a

***

## a
Density functional theory data (PBE-GGA) for a relaxed CsY2Ti crystal.

DOS(E_F): 19.673 states/eV/cell
theoretical density: 4.64 g/cm3
M_tot: 3.46 μB/f.u.

Unit cell a=8.006 b=8.006 c=8.006 alpha=90.00 beta=90.00 gamma=90.00
Fractional positions:
Cs1 0.000 0.000 0.000
Cs2 0.000 0.500 0.500
Cs3 0.500 0.000 0.500
Cs4 0.500 0.500 0.000
Y1 0.250 0.250 0.250
Y2 0.250 0.250 0.750
Y3 0.250 0.750 0.250
Y4 0.250 0.750 0.750
Y5 0.750 0.250 0.250
Y6 0.750 0.250 0.750
Y7 0.750 0.750 0.250
Y8 0.750 0.750 0.750
Ti1 0.000 0.000 0.500
Ti2 0.000 0.500 0.000
Ti3 0.500 0.000 0.000
Ti4 0.500 0.500 0.500

***

## b
Density functional theory data (PBE-GGA) for a relaxed CsY2Ti crystal.

DOS(E_F): 22.596 states/eV/cell
theoretical density: 4.34 g/cm3
M_tot: 2.92 μB/f.u.

Unit cell a=8.893 b=8.893 c=6.941 alpha=90.00 beta=90.00 gamma=90.00
Fractional positions:
Cs1 0.000 0.000 0.000
Cs2 0.000 0.500 0.250
Cs3 0.500 0.000 0.750
Cs4 0.500 0.500 0.500
Y1 0.219 0.250 0.625
Y2 0.250 0.719 0.875
Y3 0.250 0.781 0.375
Y4 0.281 0.250 0.125
Y5 0.719 0.750 0.125
Y6 0.750 0.219 0.375
Y7 0.750 0.281 0.875
Y8 0.781 0.750 0.625
Ti1 0.000 0.000 0.500
Ti2 0.000 0.500 0.750
Ti3 0.500 0.000 0.250
Ti4 0.500 0.500 0.000

***

Last place for stability: b